! CaAl2As2 | Alexandria via LeMat-Bulk | GGA-PBE | relaxed; values from VASP
! uncorrected energy	-4.224	eV per atom
! energy of formation from the pure elements	-225	kJ/mol of formula units
! symmetry	I4/mmm, No. 139
&SYSTEM
  ibrav = 0, nat = 5, ntyp = 3
/
ATOMIC_SPECIES
Ca 40.08 Ca.upf
Al 26.98 Al.upf
As 74.92 As.upf
CELL_PARAMETERS angstrom
-2.452 2.452 4.521
2.452 -2.452 4.521
2.452 2.452 -4.521
ATOMIC_POSITIONS crystal
Ca 0.000 0.000 0.000
Al 0.355 0.355 0.000
Al 0.645 0.645 0.000
As 0.250 0.750 0.500
As 0.750 0.250 0.500



! Ca2AlAsF | Alexandria via LeMat-Bulk | GGA-PBE | relaxed; values from VASP
! uncorrected energy	-3.896	eV per atom
! symmetry	P4/mmm, No. 123
! uncorrected formation energy	-1.043	eV per atom
&SYSTEM
  ibrav = 0, nat = 5, ntyp = 4
/
ATOMIC_SPECIES
Ca 40.08 Ca.upf
Al 26.98 Al.upf
As 74.92 As.upf
F 19.00 F.upf
CELL_PARAMETERS angstrom
4.521 0.000 0.000
0.000 4.521 0.000
0.000 0.000 5.415
ATOMIC_POSITIONS crystal
Ca 0.000 0.500 0.000
Ca 0.500 0.000 0.000
Al 0.000 0.000 0.500
As 0.500 0.500 0.500
F 0.500 0.500 0.000



! Ca2AlGeAs | Alexandria via LeMat-Bulk | GGA-PBE | relaxed; values from VASP
! uncorrected energy	-4.161	eV per atom
! energy of formation from the pure elements	-366	kJ/mol of formula units
! symmetry	P2_1/m, No. 11
&SYSTEM
  ibrav = 0, nat = 10, ntyp = 4
/
ATOMIC_SPECIES
Ca 40.08 Ca.upf
Al 26.98 Al.upf
Ge 72.64 Ge.upf
As 74.92 As.upf
CELL_PARAMETERS angstrom
6.642 0.000 0.000
0.000 4.295 0.000
-0.544 0.000 8.757
ATOMIC_POSITIONS crystal
Ca 0.148 0.250 0.351
Ca 0.247 0.250 0.909
Ca 0.753 0.750 0.091
Ca 0.852 0.750 0.649
Al 0.483 0.750 0.371
Al 0.517 0.250 0.629
Ge 0.297 0.750 0.623
Ge 0.703 0.250 0.377
As 0.238 0.750 0.136
As 0.762 0.250 0.864



! CaAl2HgAs | Alexandria via LeMat-Bulk | GGA-PBE | relaxed; values from VASP
! uncorrected energy	-2.082	eV per atom
! energy of formation from the pure elements	389	kJ/mol of formula units
! symmetry	P4/mmm, No. 123
&SYSTEM
  ibrav = 0, nat = 5, ntyp = 4
/
ATOMIC_SPECIES
Ca 40.08 Ca.upf
Al 26.98 Al.upf
Hg 200.59 Hg.upf
As 74.92 As.upf
CELL_PARAMETERS angstrom
5.871 0.000 0.000
0.000 5.871 0.000
0.000 0.000 5.314
ATOMIC_POSITIONS crystal
Ca 0.000 0.000 0.000
Al 0.000 0.500 0.000
Al 0.500 0.000 0.000
Hg 0.500 0.500 0.500
As 0.000 0.000 0.500



! CaAlAs2I | Alexandria via LeMat-Bulk | GGA-PBE | relaxed; values from VASP
! uncorrected energy	-2.748	eV per atom
! symmetry	P4/mmm, No. 123
! uncorrected formation energy	0.570	eV per atom
&SYSTEM
  ibrav = 0, nat = 5, ntyp = 4
/
ATOMIC_SPECIES
Ca 40.08 Ca.upf
Al 26.98 Al.upf
As 74.92 As.upf
I 126.90 I.upf
CELL_PARAMETERS angstrom
5.518 0.000 0.000
0.000 5.518 0.000
0.000 0.000 5.224
ATOMIC_POSITIONS crystal
Ca 0.000 0.000 0.000
Al 0.500 0.500 0.000
As 0.000 0.500 0.500
As 0.500 0.000 0.500
I 0.500 0.500 0.500



! Na3Ca3AlAs4 | Alexandria via LeMat-Bulk | GGA-PBE | relaxed; values from VASP
! uncorrected energy	-3.803	eV per atom
! energy of formation from the pure elements	-920	kJ/mol of formula units
! symmetry	P6_3mc, No. 186
&SYSTEM
  ibrav = 0, nat = 22, ntyp = 4
/
ATOMIC_SPECIES
Na 22.99 Na.upf
Ca 40.08 Ca.upf
Al 26.98 Al.upf
As 74.92 As.upf
CELL_PARAMETERS angstrom
9.471 0.000 0.000
-4.736 8.202 0.000
0.000 0.000 7.225
ATOMIC_POSITIONS crystal
Na 0.137 0.275 0.000
Na 0.137 0.863 0.000
Na 0.275 0.137 0.500
Na 0.725 0.863 0.000
Na 0.863 0.137 0.500
Na 0.863 0.725 0.500
Ca 0.050 0.525 0.328
Ca 0.475 0.525 0.328
Ca 0.475 0.950 0.328
Ca 0.525 0.050 0.828
Ca 0.525 0.475 0.828
Ca 0.950 0.475 0.828
Al 0.333 0.667 0.705
Al 0.667 0.333 0.205
As 0.190 0.380 0.598
As 0.190 0.810 0.598
As 0.333 0.667 0.055
As 0.380 0.190 0.098
As 0.620 0.810 0.598
As 0.667 0.333 0.555
As 0.810 0.190 0.098
As 0.810 0.620 0.098



! CaNbAl2As | Alexandria via LeMat-Bulk | GGA-PBE | relaxed; values from VASP
! uncorrected energy	-3.302	eV per atom
! energy of formation from the pure elements	742	kJ/mol of formula units
! symmetry	P4/mmm, No. 123
&SYSTEM
  ibrav = 0, nat = 5, ntyp = 4
/
ATOMIC_SPECIES
Ca 40.08 Ca.upf
Nb 92.91 Nb.upf
Al 26.98 Al.upf
As 74.92 As.upf
CELL_PARAMETERS angstrom
5.104 0.000 0.000
0.000 5.104 0.000
0.000 0.000 5.025
ATOMIC_POSITIONS crystal
Ca 0.000 0.000 0.000
Nb 0.500 0.500 0.500
Al 0.000 0.500 0.000
Al 0.500 0.000 0.000
As 0.000 0.000 0.500



! CaAlAs2O8 | Alexandria via LeMat-Bulk | GGA-PBE | relaxed; values from VASP
! uncorrected energy	-6.149	eV per atom
! symmetry	I-4m2, No. 119
! uncorrected formation energy	-1.590	eV per atom
&SYSTEM
  ibrav = 0, nat = 12, ntyp = 4
/
ATOMIC_SPECIES
Ca 40.08 Ca.upf
Al 26.98 Al.upf
As 74.92 As.upf
O 16.00 O.upf
CELL_PARAMETERS angstrom
-3.467 3.467 3.054
3.467 -3.467 3.054
3.467 3.467 -3.054
ATOMIC_POSITIONS crystal
Ca 0.000 0.000 0.000
Al 0.750 0.250 0.500
As 0.250 0.750 0.500
As 0.500 0.500 0.000
O 0.052 0.376 0.324
O 0.052 0.728 0.676
O 0.130 0.329 0.801
O 0.272 0.948 0.324
O 0.527 0.329 0.199
O 0.624 0.948 0.676
O 0.671 0.473 0.801
O 0.671 0.870 0.199